[1]
## LaBeIn (PBE-GGA)

Data for an optimized crystal structure of LaBeIn.

Calculated values
formation energy = -8.83 kJ/mol of atoms
total energy = -3.889 eV per atom
offset from the most stable computed form = 0.113 eV per atom

a = 5.7811 Å, b = 3.8981 Å, c = 6.7583 Å
α = 90.00°, β = 107.24°, γ = 90.00°
Element x y z (fractional)
La 0.0000 0.0000 0.0000
La 0.2182 0.0000 0.5462
Be 0.3539 0.5000 0.2732
Be 0.5264 0.0000 0.2656
In 0.5044 0.5000 0.9698
In 0.7298 0.5000 0.5694

[2]
## LaBeIn (PBE-GGA)

Data for an optimized crystal structure of LaBeIn.

Calculated values
formation energy = -13.95 kJ/mol of atoms
total energy = -3.942 eV per atom
offset from the most stable computed form = 0.060 eV per atom

a = 4.0394 Å, b = 4.5142 Å, c = 8.0650 Å
α = 90.00°, β = 90.00°, γ = 90.00°
Element x y z (fractional)
La 0.0000 0.0000 0.0000
La 0.0000 0.5000 0.5000
Be 0.5000 0.0000 0.3564
Be 0.5000 0.0000 0.6436
In 0.5000 0.5000 0.1853
In 0.5000 0.5000 0.8147

[3]
## La2BeIn (PBE-GGA)

Data for an optimized crystal structure of La2BeIn.

Calculated values
formation energy = 18.61 kJ/mol of atoms
total energy = -3.887 eV per atom
offset from the most stable computed form = 0.382 eV per atom

a = 6.7610 Å, b = 6.7610 Å, c = 6.7610 Å
α = 101.94°, β = 101.94°, γ = 125.88°
Element x y z (fractional)
La 0.0725 0.6250 0.9475
La 0.3750 0.3225 0.4475
La 0.6775 0.1250 0.0525
La 0.8750 0.9275 0.5525
Be 0.0000 0.0000 0.0000
Be 0.7500 0.2500 0.5000
In 0.2500 0.7500 0.5000
In 0.5000 0.5000 0.0000

[4]
## LaBeIn (PBE-GGA)

Data for an optimized crystal structure of LaBeIn.

Calculated values
formation energy = -14.98 kJ/mol of atoms
total energy = -3.953 eV per atom
offset from the most stable computed form = 0.049 eV per atom

a = 3.9553 Å, b = 4.1120 Å, c = 9.0294 Å
α = 103.11°, β = 90.12°, γ = 90.00°
Element x y z (fractional)
La 0.0000 0.0000 0.0000
La 0.0019 0.2207 0.4458
Be 0.0059 0.8335 0.6727
Be 0.5047 0.7909 0.5859
In 0.5010 0.3789 0.7621
In 0.5010 0.6123 0.2278

[5]
## La2BeIn (PBE-GGA)

Data for an optimized crystal structure of La2BeIn.

Calculated values
formation energy = -12.68 kJ/mol of atoms
total energy = -4.211 eV per atom
offset from the most stable computed form = 0.057 eV per atom

a = 5.6331 Å, b = 6.0135 Å, c = 7.5577 Å
α = 102.03°, β = 100.48°, γ = 116.80°
Element x y z (fractional)
La 0.0246 0.2874 0.1230
La 0.1787 0.2911 0.6248
La 0.8213 0.7089 0.3752
La 0.9754 0.7126 0.8770
Be 0.4922 0.3031 0.9885
Be 0.5078 0.6969 0.0115
In 0.4738 0.0500 0.2968
In 0.5262 0.9500 0.7032

[6]
## LaBe2In (PBE-GGA)

Data for an optimized crystal structure of LaBe2In.

Calculated values
formation energy = 34.02 kJ/mol of atoms
total energy = -3.427 eV per atom

a = 4.8715 Å, b = 4.8715 Å, c = 4.8715 Å
α = 60.00°, β = 60.00°, γ = 60.00°
Element x y z (fractional)
La 0.0000 0.0000 0.0000
Be 0.5000 0.5000 0.5000
Be 0.7500 0.7500 0.7500
In 0.2500 0.2500 0.2500

- Look up the total energy of the fifth one.
  -4.211 eV per atom

Repeat the fourth record exactly.
## LaBeIn (PBE-GGA)

Data for an optimized crystal structure of LaBeIn.

Calculated values
formation energy = -14.98 kJ/mol of atoms
total energy = -3.953 eV per atom
offset from the most stable computed form = 0.049 eV per atom

a = 3.9553 Å, b = 4.1120 Å, c = 9.0294 Å
α = 103.11°, β = 90.12°, γ = 90.00°
Element x y z (fractional)
La 0.0000 0.0000 0.0000
La 0.0019 0.2207 0.4458
Be 0.0059 0.8335 0.6727
Be 0.5047 0.7909 0.5859
In 0.5010 0.3789 0.7621
In 0.5010 0.6123 0.2278

- What is the formation energy in the fourth record?
  -14.98 kJ/mol of atoms